[1]
SiRh2W: relaxed, PBE.

Values from the calculation:
* N(E_F): 0.54 states/eV/atom
* mass density: 12183 kg/m3
* size of the total moment: 0.0 μB/cell
* uncorrected formation energy: -0.367 eV/atom

Cell: 2.8639 4.4309 8.9735 Å, 90.00 90.00 90.00°
With the nearest neighbours (Å) after each atom.
Space group Imm2 (No. 44)
Unique sites:
Si (0.0000, 0.0000, 0.0000)  6 Rh 2.36-2.64, 2 W 2.53
Rh (0.0000, 0.0000, 0.5014)  4 Si 2.64, 2 W 2.81, 4 Rh 2.86-2.91
Rh (0.0000, 0.5000, 0.2915)  2 Si 2.36
W (0.0000, 0.5000, 0.7319)  2 Si 2.53, 6 Rh 2.69-2.81

=====

[2]
AgHBr2: relaxed, PBE.

Values from the calculation:
* N(E_F): 0.09 states/eV/atom
* mass density: 4989 kg/m3
* size of the total moment: 0.0 μB/cell
* offset from the most stable computed form: 648.3 meV/atom

Cell: 3.6835 3.6835 22.8322 Å, 90.00 90.00 120.00°
With the nearest neighbours (Å) after each atom.
Space group R-3m (No. 166, hexagonal axes)
Unique sites:
Ag (0.0000, 0.0000, 0.0000)  2 Br 2.48
H (0.0000, 0.0000, 0.5000)  6 Br 2.51
Br (0.0000, 0.0000, 0.1087)  1 Ag 2.48, 3 H 2.51

=====

[3]
TePb2: relaxed, PBE.

Values from the calculation:
* N(E_F): 0.38 states/eV/atom
* mass density: 8890 kg/m3
* size of the total moment: 0.0 μB/cell
* uncorrected formation energy: -0.138 eV/atom
* offset from the most stable computed form: 0.0 meV/atom

Cell: 6.3277 6.3302 10.1097 Å, 90.00 90.00 90.00°
With the nearest neighbours (Å) after each atom.
Space group Pnma (No. 62)
Unique sites:
Te (0.0044, 0.2500, 0.1251)  6 Pb 3.23-3.25
Pb (0.0016, 0.2500, 0.8052)  3 Te 3.23-3.24, 2 Pb 3.36
Pb (0.0033, 0.2500, 0.4451)  3 Te 3.23-3.25, 2 Pb 3.35

=====

[4]
Tb6NdZn2: relaxed, PBE.

Values from the calculation:
* N(E_F): 1.14 states/eV/atom
* mass density: 7966 kg/m3
* size of the total moment: 0.0 μB/cell
* offset from the most stable computed form: 0.0 meV/atom
* formation energy from the elements: -0.140 eV/atom

Cell: 12.5151 3.6559 11.8233 Å, 90.00 108.76 90.00°
With the nearest neighbours (Å) after each atom.
Space group C2/m (No. 12)
Unique sites:
Tb (0.0226, 0.0000, 0.3330)  2 Zn 3.08, 1 Tb 3.44
Tb (0.1880, 0.5000, 0.5883)  2 Zn 3.15, 4 Tb 3.37-3.49
Tb (0.1907, 0.5000, 0.8742)  2 Zn 3.10, 3 Tb 3.37-3.40
Nd (0.0000, 0.0000, 0.0000)  4 Zn 3.18
Zn (0.1508, 0.5000, 0.2112)  6 Tb 3.08-3.15, 2 Nd 3.18

=====

| no. | energy (eV/cell) |
| --- | --- |
| 1 | -69.092 |
| 2 | -24.150 |
| 3 | -43.887 |
| 4 | -72.707 |